Tb2InSn2Rh5: optimized geometry, GGA-PBE.

Properties
ΔE_f = -0.580 eV per atom
final energy = -125.123 eV/cell
SG = P4/mbm, No. 127
crystal system = tetragonal
density = 10.17 g/cm3

```
Tb2InSn2Rh5
1.0
3.744 0.000 0.000
0.000 10.163 0.000
0.000 0.000 10.163
Sn Rh Tb In
4 10 4 2
direct
0.000 0.628 0.872
0.000 0.872 0.372
0.000 0.372 0.128
0.000 0.128 0.628
0.500 0.500 0.000
0.500 0.000 0.500
0.500 0.798 0.938
0.500 0.702 0.438
0.500 0.202 0.062
0.500 0.938 0.202
0.500 0.438 0.298
0.500 0.298 0.562
0.500 0.562 0.702
0.500 0.062 0.798
0.000 0.671 0.171
0.000 0.829 0.671
0.000 0.171 0.329
0.000 0.329 0.829
0.000 0.000 0.000
0.000 0.500 0.500
```